# 1
# SeBr3

A relaxed structure of SeBr3 (GGA-PBE, the Alexandria database).

abc: 4.7999 3.5021 8.2057
angles: 90.00 96.65 90.00
Space group P2/m (No. 10)
Symmetry-distinct sites (fractional):
1 Se 0.0000 0.0000 0.0000 (multiplicity 1)
2 Br 0.1662 0.5000 0.8010 (multiplicity 2)
3 Br 0.5000 0.0000 0.5000 (multiplicity 1)

Results
- Formation energy from raw total energies: 0.157 eV/atom

***

# 2
# Tb2TmOs

A relaxed structure of Tb2TmOs (GGA-PBE, the Alexandria database).

abc: 3.4440 3.4440 32.3643
angles: 90.00 90.00 120.00
Space group R-3m (No. 166, hexagonal axes)
Symmetry-distinct sites (fractional):
1 Tb 0.0000 0.0000 0.1047 (multiplicity 6)
2 Tm 0.0000 0.0000 0.0000 (multiplicity 3)
3 Os 0.0000 0.0000 0.5000 (multiplicity 3)

Results
- Energy above the most stable polymorph in this dataset: 555 meV/atom
- ΔH_f (0 K): 0.295 eV per atom

***

no.,calculated density (g/cm3),V (Å³/cell)
1,3.9,137.0
2,10.1,332.4